Here is an optimized crystal structure of Li2TaIn from the Alexandria database. Energies are from PBE.

Unit cell a=2.8487 b=4.1536 c=6.2347 alpha=90.00 beta=90.00 gamma=90.00
Element x y z (fractional)
Li1 0.0000 0.0000 0.0000
Li2 0.5000 0.5000 0.2322
Ta1 0.0000 0.0000 0.4901
In1 0.5000 0.5000 0.7428

Electronic total energy: -17.40 eV/cell
SG: No. 25
Crystal system: orthorhombic
DFT formation energy: 0.255 eV per atom